First-principles (PBE) data for a relaxed TlZn2 crystal, as listed in the Open Quantum Materials Database.

```
6
Lattice="0.000 3.930 3.930 3.930 0.000 3.930 3.930 3.930 0.000" Properties=species:S:1:pos:R:3 pbc="T T T"
Tl 0.983 0.983 0.983
Tl 6.878 6.878 6.878
Zn 3.930 1.965 1.965
Zn 1.965 3.930 1.965
Zn 1.965 1.965 3.930
Zn 3.930 3.930 3.930
```

Computed properties:
Energy (eV/atom): -1.51
Calculated volume (Å³ per cell): 121.44
Symmetry: Fd-3m, No. 227


First-principles (PBE) data for a relaxed TlZn crystal, as listed in the Open Quantum Materials Database.

```
16
Lattice="4.460 0.000 0.000 0.000 7.096 0.000 0.000 0.000 12.267" Properties=species:S:1:pos:R:3 pbc="T T T"
Tl 0.000 0.000 0.000
Tl 0.000 1.612 9.477
Tl 0.000 1.935 3.343
Tl 0.000 3.548 6.134
Tl 0.000 5.160 3.343
Tl 0.000 5.483 9.477
Tl 2.230 0.000 2.232
Tl 2.230 3.548 8.366
Zn 0.000 0.000 6.317
Zn 0.000 3.548 0.184
Zn 2.230 0.000 7.915
Zn 2.230 1.382 5.523
Zn 2.230 2.165 11.656
Zn 2.230 3.548 1.781
Zn 2.230 4.930 11.656
Zn 2.230 5.713 5.523
```

Computed properties:
Energy (eV/atom): -1.64
Calculated volume (Å³ per cell): 388.22
Symmetry: Amm2, No. 38


First-principles (PBE) data for a relaxed TlZn2 crystal, as listed in the Open Quantum Materials Database.

```
12
Lattice="11.049 0.000 0.000 0.000 5.168 0.000 0.000 0.000 4.404" Properties=species:S:1:pos:R:3 pbc="T T T"
Tl 0.000 1.226 1.101
Tl 0.000 3.942 3.303
Tl 5.524 1.358 3.303
Tl 5.524 3.810 1.101
Zn 2.448 1.901 3.303
Zn 2.448 3.266 1.101
Zn 3.076 0.682 1.101
Zn 3.076 4.485 3.303
Zn 7.972 0.682 1.101
Zn 7.972 4.485 3.303
Zn 8.601 1.901 3.303
Zn 8.601 3.266 1.101
```

Computed properties:
Energy (eV/atom): -1.54
Calculated volume (Å³ per cell): 251.42
Symmetry: Cmcm, No. 63


First-principles (PBE) data for a relaxed TlZn crystal, as listed in the Open Quantum Materials Database.

```
12
Lattice="6.544 0.000 0.000 0.000 4.476 0.000 -1.209 0.000 9.651" Properties=species:S:1:pos:R:3 pbc="T T T"
Tl 0.896 1.119 1.549
Tl 1.080 1.119 6.962
Tl 0.892 3.357 9.312
Tl 4.443 1.119 0.339
Tl 4.255 3.357 2.689
Tl 4.439 3.357 8.102
Zn -0.390 1.119 4.164
Zn 1.046 3.357 3.628
Zn 2.494 1.119 4.090
Zn 2.841 3.357 5.561
Zn 4.289 1.119 6.023
Zn 5.725 3.357 5.487
```

Computed properties:
Energy (eV/atom): -1.70
Calculated volume (Å³ per cell): 282.69
Symmetry: P2_1/m, No. 11


First-principles (PBE) data for a relaxed TlZn crystal, as listed in the Open Quantum Materials Database.

```
24
Lattice="6.783 0.000 0.000 0.000 18.429 0.000 0.000 0.000 4.528" Properties=species:S:1:pos:R:3 pbc="T T T"
Tl 0.209 3.332 1.132
Tl 0.209 5.882 3.396
Tl 0.588 0.932 3.396
Tl 0.588 8.282 1.132
Tl 3.071 1.115 1.132
Tl 3.071 8.099 3.396
Tl 3.712 10.330 1.132
Tl 3.712 17.313 3.396
Tl 6.195 10.147 3.396
Tl 6.195 17.497 1.132
Tl 6.574 12.546 1.132
Tl 6.574 15.097 3.396
Zn 1.949 11.773 3.396
Zn 1.949 15.870 1.132
Zn 2.284 3.499 3.396
Zn 2.284 5.715 1.132
Zn 2.649 13.085 1.132
Zn 2.649 14.558 3.396
Zn 4.135 3.871 1.132
Zn 4.135 5.344 3.396
Zn 4.499 12.714 3.396
Zn 4.499 14.930 1.132
Zn 4.834 2.559 3.396
Zn 4.834 6.656 1.132
```

Computed properties:
Energy (eV/atom): -1.68
Calculated volume (Å³ per cell): 566.06
Symmetry: Pbcm, No. 57


First-principles (PBE) data for a relaxed TlZn crystal, as listed in the Open Quantum Materials Database.

```
8
Lattice="6.350 0.000 0.000 0.000 4.809 0.000 0.000 0.000 6.127" Properties=species:S:1:pos:R:3 pbc="T T T"
Tl 0.936 1.202 0.763
Tl 2.239 3.607 3.827
Tl 4.111 1.202 2.300
Tl 5.414 3.607 5.364
Zn 0.365 1.202 3.836
Zn 2.810 3.607 0.772
Zn 3.540 1.202 5.355
Zn 5.986 3.607 2.292
```

Computed properties:
Energy (eV/atom): -1.64
Calculated volume (Å³ per cell): 187.13
Symmetry: Pnma, No. 62


First-principles (PBE) data for a relaxed TlZn crystal, as listed in the Open Quantum Materials Database.

```
8
Lattice="5.872 0.000 0.000 0.000 5.872 0.000 0.000 0.000 5.872" Properties=species:S:1:pos:R:3 pbc="T T T"
Tl 0.000 0.000 0.000
Tl 0.000 2.936 2.936
Tl 2.936 0.000 2.936
Tl 2.936 2.936 0.000
Zn 0.000 0.000 2.936
Zn 0.000 2.936 0.000
Zn 2.936 0.000 0.000
Zn 2.936 2.936 2.936
```

Computed properties:
Energy (eV/atom): -1.60
Calculated volume (Å³ per cell): 202.49
Symmetry: Fm-3m, No. 225


First-principles (PBE) data for a relaxed TlZn3 crystal, as listed in the Open Quantum Materials Database.

```
8
Lattice="4.414 0.000 0.000 0.000 5.861 0.000 0.000 0.000 5.804" Properties=species:S:1:pos:R:3 pbc="T T T"
Tl 1.103 1.465 0.662
Tl 3.310 4.395 5.142
Zn 1.103 0.019 3.695
Zn 1.103 2.911 3.695
Zn 1.103 4.395 1.465
Zn 3.310 1.465 4.339
Zn 3.310 2.949 2.109
Zn 3.310 5.842 2.109
```

Computed properties:
Energy (eV/atom): -1.40
Calculated volume (Å³ per cell): 150.15
Symmetry: Pmmn, No. 59